# TaTiMo PBE optimized geometry
data_TaTiMo
_chemical_formula_sum 'Ta4 Ti4 Mo4'
_symmetry_space_group_name_H-M 'P 1'
_symmetry_Int_Tables_number 1
_cell_length_a 13.708
_cell_length_b 4.562
_cell_length_c 3.226
_cell_angle_alpha 90.00
_cell_angle_beta 90.00
_cell_angle_gamma 90.00
loop_
_symmetry_equiv_pos_as_xyz
'x,y,z'
loop_
_atom_site_label
_atom_site_fract_x
_atom_site_fract_y
_atom_site_fract_z
_atom_site_occupancy
Ta1 0.170 0.000 0.500 1
Ta2 0.670 0.500 0.500 1
Ta3 0.830 0.000 0.500 1
Ta4 0.330 0.500 0.500 1
Ti1 0.000 0.500 0.500 1
Ti2 0.500 0.500 0.000 1
Ti3 0.500 0.000 0.500 1
Ti4 0.000 0.000 0.000 1
Mo1 0.163 0.500 0.000 1
Mo2 0.337 0.000 0.000 1
Mo3 0.837 0.500 0.000 1
Mo4 0.663 0.000 0.000 1
# ΔH_f (0 K)	-94	meV/atom
# distance to the lowest polymorph of the same formula	36	meV per atom
# Fermi-level density of states	14.9	states/eV per cell
# magnetic moment	0.00	μB per cell

=====

# Ta2Ti5Mo5 PBE optimized geometry
data_Ta2Ti5Mo5
_chemical_formula_sum 'Ta2 Ti5 Mo5'
_symmetry_space_group_name_H-M 'P 1'
_symmetry_Int_Tables_number 1
_cell_length_a 3.195
_cell_length_b 6.852
_cell_length_c 9.699
_cell_angle_alpha 74.79
_cell_angle_beta 80.52
_cell_angle_gamma 76.52
loop_
_symmetry_equiv_pos_as_xyz
'x,y,z'
loop_
_atom_site_label
_atom_site_fract_x
_atom_site_fract_y
_atom_site_fract_z
_atom_site_occupancy
Ti1 0.500 0.500 0.500 1
Ti2 0.586 0.079 0.750 1
Ti3 0.340 0.311 0.009 1
Ti4 0.660 0.689 0.991 1
Ti5 0.414 0.921 0.250 1
Mo1 0.829 0.839 0.503 1
Mo2 0.252 0.754 0.742 1
Mo3 0.000 0.000 0.000 1
Mo4 0.748 0.246 0.258 1
Mo5 0.171 0.161 0.497 1
Ta1 0.907 0.433 0.752 1
Ta2 0.093 0.567 0.248 1
# ΔH_f (0 K)	-76	meV/atom
# Fermi-level density of states	17.1	states/eV per cell
# magnetic moment	0.00	μB per cell

=====

# Ta4TiMo3 PBE optimized geometry
data_Ta4TiMo3
_chemical_formula_sum 'Ta4 Ti1 Mo3'
_symmetry_space_group_name_H-M 'P 1'
_symmetry_Int_Tables_number 1
_cell_length_a 3.236
_cell_length_b 4.585
_cell_length_c 9.164
_cell_angle_alpha 90.00
_cell_angle_beta 90.00
_cell_angle_gamma 90.00
loop_
_symmetry_equiv_pos_as_xyz
'x,y,z'
loop_
_atom_site_label
_atom_site_fract_x
_atom_site_fract_y
_atom_site_fract_z
_atom_site_occupancy
Ta1 0.000 0.000 0.000 1
Ta2 0.000 0.000 0.500 1
Ta3 0.000 0.500 0.743 1
Ta4 0.000 0.500 0.257 1
Mo1 0.500 0.000 0.245 1
Mo2 0.500 0.000 0.755 1
Mo3 0.500 0.500 0.500 1
Ti1 0.500 0.500 0.000 1
# ΔH_f (0 K)	-145	meV/atom
# Fermi-level density of states	6.5	states/eV per cell
# magnetic moment	0.00	μB per cell

=====

# Ta3TiMo3 PBE optimized geometry
data_Ta3TiMo3
_chemical_formula_sum 'Ta6 Ti2 Mo6'
_symmetry_space_group_name_H-M 'P 1'
_symmetry_Int_Tables_number 1
_cell_length_a 6.415
_cell_length_b 6.415
_cell_length_c 6.279
_cell_angle_alpha 90.00
_cell_angle_beta 90.00
_cell_angle_gamma 91.81
loop_
_symmetry_equiv_pos_as_xyz
'x,y,z'
loop_
_atom_site_label
_atom_site_fract_x
_atom_site_fract_y
_atom_site_fract_z
_atom_site_occupancy
Ta1 0.245 0.245 0.500 1
Ta2 0.247 0.753 0.000 1
Ta3 0.256 0.744 0.500 1
Ta4 0.753 0.247 0.000 1
Ta5 0.755 0.755 0.500 1
Ta6 0.744 0.256 0.500 1
Mo1 0.000 0.500 0.249 1
Mo2 0.500 0.000 0.249 1
Mo3 0.500 0.000 0.751 1
Mo4 0.000 0.000 0.750 1
Mo5 0.000 0.000 0.250 1
Mo6 0.000 0.500 0.751 1
Ti1 0.758 0.758 0.000 1
Ti2 0.242 0.242 0.000 1
# ΔH_f (0 K)	180	meV/atom
# Fermi-level density of states	14.6	states/eV per cell
# magnetic moment	0.00	μB per cell

=====

# TaTi2Mo2 PBE optimized geometry
data_TaTi2Mo2
_chemical_formula_sum 'Ta2 Ti4 Mo4'
_symmetry_space_group_name_H-M 'P 1'
_symmetry_Int_Tables_number 1
_cell_length_a 7.328
_cell_length_b 7.328
_cell_length_c 3.137
_cell_angle_alpha 90.00
_cell_angle_beta 90.00
_cell_angle_gamma 90.00
loop_
_symmetry_equiv_pos_as_xyz
'x,y,z'
loop_
_atom_site_label
_atom_site_fract_x
_atom_site_fract_y
_atom_site_fract_z
_atom_site_occupancy
Ti1 0.383 0.883 0.000 1
Ti2 0.617 0.117 0.000 1
Ti3 0.117 0.383 0.000 1
Ti4 0.883 0.617 0.000 1
Mo1 0.200 0.700 0.500 1
Mo2 0.800 0.300 0.500 1
Mo3 0.300 0.200 0.500 1
Mo4 0.700 0.800 0.500 1
Ta1 0.000 0.000 0.000 1
Ta2 0.500 0.500 0.000 1
# ΔH_f (0 K)	299	meV/atom
# distance to the lowest polymorph of the same formula	446	meV per atom
# Fermi-level density of states	14.9	states/eV per cell
# magnetic moment	0.00	μB per cell

=====

# TaTiMo3 PBE optimized geometry
data_TaTiMo3
_chemical_formula_sum 'Ta2 Ti2 Mo6'
_symmetry_space_group_name_H-M 'P 1'
_symmetry_Int_Tables_number 1
_cell_length_a 5.548
_cell_length_b 5.548
_cell_length_c 5.548
_cell_angle_alpha 88.81
_cell_angle_beta 88.81
_cell_angle_gamma 88.81
loop_
_symmetry_equiv_pos_as_xyz
'x,y,z'
loop_
_atom_site_label
_atom_site_fract_x
_atom_site_fract_y
_atom_site_fract_z
_atom_site_occupancy
Mo1 0.399 0.741 0.053 1
Mo2 0.601 0.259 0.947 1
Mo3 0.259 0.947 0.601 1
Mo4 0.947 0.601 0.259 1
Mo5 0.053 0.399 0.741 1
Mo6 0.741 0.053 0.399 1
Ti1 0.877 0.877 0.877 1
Ti2 0.123 0.123 0.123 1
Ta1 0.628 0.628 0.628 1
Ta2 0.372 0.372 0.372 1
# ΔH_f (0 K)	544	meV/atom
# distance to the lowest polymorph of the same formula	297	meV per atom
# Fermi-level density of states	12.8	states/eV per cell
# magnetic moment	0.00	μB per cell

=====

Number 1: final energy -123.44 eV/cell. Number 2: final energy -118.25 eV/cell. Number 3: final energy -88.96 eV/cell. Number 4: final energy -149.37 eV/cell. Number 5: final energy -95.62 eV/cell. Number 6: final energy -99.04 eV/cell.